## La8Nd4Cd (GGA-PBE)

Data for crystalline La8Nd4Cd at its relaxed geometry.

a = 11.8037 Å, b = 11.8037 Å, c = 11.8535 Å
α = 90.00°, β = 90.00°, γ = 120.00°
Space group R-3m (No. 166, hexagonal axes)
Unique sites:
La 0.0000 0.0000 0.2395 [6 per cell]
La 0.0035 0.5017 0.3299 [18 per cell]
Nd 0.0000 0.0000 0.0000 [3 per cell]
Nd 0.0000 0.5000 0.0000 [9 per cell]
Cd 0.0000 0.0000 0.5000 [3 per cell]

Computed properties:
VASP energy (eV per atom): -4.2621
Theoretical density (Mg/m³): 6.3
Calculated volume (Å³ per atom): 36.674
Formation energy from the elements (meV per atom): 307.6